Model one:
Density functional theory data (PBE) for a relaxed Dy2Ho5Sc crystal.

Summary:
Its density is 8.1 g/cm3. As for the total magnetization: 0.00 μB per cell. The density of states at the Fermi level comes out at 13.89 states/eV per cell. As for the space group: Fmm2.

Unit cell a=7.138 b=7.138 c=6.603 alpha=105.67 beta=105.67 gamma=120.01
Positions (direct):
Ho: 0.737 0.819 0.500
Sc: 0.820 0.736 0.000
Ho: 0.322 0.739 0.000
Ho: 0.321 0.235 0.000
Ho: 0.237 0.319 0.500
Dy: 0.739 0.325 0.508
Ho: 0.817 0.234 0.000
Dy: 0.231 0.816 0.492

***

Model two:
Density functional theory data (PBE) for a relaxed Dy2Ho5Sc crystal.

Summary:
Its density is 8.2 g/cm3. As for the total magnetization: 0.00 μB per cell. The density of states at the Fermi level comes out at 18.79 states/eV per cell. As for the space group: I4/mcm.

Unit cell a=8.816 b=8.816 c=8.809 alpha=120.03 beta=120.03 gamma=90.00
Positions (direct):
Sc: 0.250 0.250 0.500
Dy: 0.358 0.858 0.000
Ho: 0.500 0.500 0.000
Ho: 0.513 0.318 0.331
Ho: 0.013 0.513 0.331
Dy: 0.142 0.358 0.000
Ho: 0.987 0.487 0.669
Ho: 0.000 0.000 0.000
Ho: 0.682 0.182 0.669
Ho: 0.182 0.987 0.669
Ho: 0.318 0.818 0.331
Ho: 0.487 0.682 0.669
Dy: 0.642 0.142 0.000
Ho: 0.818 0.013 0.331
Dy: 0.858 0.642 0.000
Sc: 0.750 0.750 0.500

***

Most stable: model one. Least stable: model two.